A relaxed structure of PmNdErPb. Source: Alexandria via LeMat-Bulk, functional PBE.

a b c (Å): 5.5752 5.5752 5.5752
angles (deg): 60.00 60.00 60.00
With the nearest neighbours (Å) after each atom.
Positions (direct):
Pm (0.0000, 0.0000, 0.0000)  4 Pb 3.41, 4 Er 3.41
Nd (0.5000, 0.5000, 0.5000)  4 Pb 3.41, 4 Er 3.41
Er (0.7500, 0.7500, 0.7500)  4 Nd 3.41, 4 Pm 3.41
Pb (0.2500, 0.2500, 0.2500)  4 Nd 3.41, 4 Pm 3.41

Properties
Mass density   9.0 g cm⁻³
V   30.63 A^3/atom
Crystal system   cubic
Spin magnetization   0.00 μB per formula unit
Total energy   -18.38 eV per cell
Symmetry   F-43m, No. 216